[1]
# Sb3PbS6

A geometry-optimized Sb3PbS6 structure (PBE-GGA, Alexandria via LeMat-Bulk).

Values from the calculation:
D(E_F) in states/eV per cell: 7.11
E_form (uncorrected) in meV per atom: -247.8

```
data_Sb3PbS6
_space_group_name_H-M_alt 'P 1'
_space_group_IT_number 1
_space_group_name_Hall 'P 1'
_cell_length_a 11.827
_cell_length_b 3.869
_cell_length_c 11.932
_cell_angle_alpha 90.00
_cell_angle_beta 110.15
_cell_angle_gamma 90.00
loop_
_atom_site_label
_atom_site_type_symbol
_atom_site_fract_x
_atom_site_fract_y
_atom_site_fract_z
_atom_site_occupancy
Sb1 Sb 0.045 0.250 0.161 1
Sb2 Sb 0.200 0.750 0.456 1
Sb3 Sb 0.352 0.250 0.901 1
Sb4 Sb 0.648 0.750 0.099 1
Sb5 Sb 0.800 0.250 0.544 1
Sb6 Sb 0.955 0.750 0.839 1
Pb1 Pb 0.464 0.250 0.313 1
Pb2 Pb 0.536 0.750 0.687 1
S1 S 0.030 0.250 0.365 1
S2 S 0.114 0.250 0.920 1
S3 S 0.231 0.750 0.258 1
S4 S 0.301 0.750 0.747 1
S5 S 0.380 0.250 0.520 1
S6 S 0.428 0.750 0.087 1
S7 S 0.572 0.250 0.913 1
S8 S 0.620 0.750 0.480 1
S9 S 0.699 0.250 0.253 1
S10 S 0.769 0.250 0.742 1
S11 S 0.886 0.750 0.080 1
S12 S 0.970 0.750 0.635 1
```

[2]
# Sb4Pb4S11

A geometry-optimized Sb4Pb4S11 structure (PBE-GGA, Alexandria via LeMat-Bulk).

Values from the calculation:
D(E_F) in states/eV per cell: 20.89
E_form (uncorrected) in meV per atom: -286.0

```
data_Sb4Pb4S11
_space_group_name_H-M_alt 'P 1'
_space_group_IT_number 1
_space_group_name_Hall 'P 1'
_cell_length_a 15.756
_cell_length_b 15.763
_cell_length_c 3.991
_cell_angle_alpha 90.00
_cell_angle_beta 90.00
_cell_angle_gamma 90.00
loop_
_atom_site_label
_atom_site_type_symbol
_atom_site_fract_x
_atom_site_fract_y
_atom_site_fract_z
_atom_site_occupancy
Sb1 Sb 0.019 0.228 0.000 1
Sb2 Sb 0.139 0.995 0.000 1
Sb3 Sb 0.361 0.495 0.000 1
Sb4 Sb 0.481 0.728 0.000 1
Sb5 Sb 0.519 0.272 0.000 1
Sb6 Sb 0.639 0.505 0.000 1
Sb7 Sb 0.861 0.005 0.000 1
Sb8 Sb 0.981 0.772 0.000 1
Pb1 Pb 0.117 0.441 0.500 1
Pb2 Pb 0.249 0.694 0.500 1
Pb3 Pb 0.251 0.194 0.500 1
Pb4 Pb 0.383 0.941 0.500 1
Pb5 Pb 0.617 0.059 0.500 1
Pb6 Pb 0.749 0.806 0.500 1
Pb7 Pb 0.751 0.306 0.500 1
Pb8 Pb 0.883 0.559 0.500 1
S1 S 0.000 0.500 0.000 1
S2 S 0.036 0.678 0.500 1
S3 S 0.085 0.114 0.500 1
S4 S 0.157 0.299 0.000 1
S5 S 0.170 0.893 0.500 1
S6 S 0.219 0.559 0.000 1
S7 S 0.281 0.059 0.000 1
S8 S 0.330 0.393 0.500 1
S9 S 0.343 0.799 0.000 1
S10 S 0.415 0.614 0.500 1
S11 S 0.464 0.178 0.500 1
S12 S 0.500 0.000 0.000 1
S13 S 0.536 0.822 0.500 1
S14 S 0.585 0.386 0.500 1
S15 S 0.657 0.201 0.000 1
S16 S 0.670 0.607 0.500 1
S17 S 0.719 0.941 0.000 1
S18 S 0.781 0.441 0.000 1
S19 S 0.830 0.107 0.500 1
S20 S 0.843 0.701 0.000 1
S21 S 0.915 0.886 0.500 1
S22 S 0.964 0.322 0.500 1
```

[3]
# Sb4PbS8

A geometry-optimized Sb4PbS8 structure (PBE-GGA, Alexandria via LeMat-Bulk).

Values from the calculation:
D(E_F) in states/eV per cell: 3.32
E_form (uncorrected) in meV per atom: -171.7

```
data_Sb4PbS8
_space_group_name_H-M_alt 'P 1'
_space_group_IT_number 1
_space_group_name_Hall 'P 1'
_cell_length_a 8.104
_cell_length_b 8.104
_cell_length_c 8.104
_cell_angle_alpha 60.00
_cell_angle_beta 60.00
_cell_angle_gamma 60.00
loop_
_atom_site_label
_atom_site_type_symbol
_atom_site_fract_x
_atom_site_fract_y
_atom_site_fract_z
_atom_site_occupancy
Sb1 Sb 0.383 0.383 0.383 1
Sb2 Sb 0.383 0.383 0.850 1
Sb3 Sb 0.383 0.850 0.383 1
Sb4 Sb 0.850 0.383 0.383 1
Pb1 Pb 0.000 0.000 0.000 1
S1 S 0.128 0.128 0.128 1
S2 S 0.128 0.128 0.615 1
S3 S 0.128 0.615 0.128 1
S4 S 0.156 0.615 0.615 1
S5 S 0.615 0.128 0.128 1
S6 S 0.615 0.156 0.615 1
S7 S 0.615 0.615 0.156 1
S8 S 0.615 0.615 0.615 1
```

[4]
# SbPbS

A geometry-optimized SbPbS structure (PBE-GGA, Alexandria via LeMat-Bulk).

Values from the calculation:
D(E_F) in states/eV per cell: 0.17
E_form (uncorrected) in meV per atom: -202.5

```
data_SbPbS
_space_group_name_H-M_alt 'P 1'
_space_group_IT_number 1
_space_group_name_Hall 'P 1'
_cell_length_a 13.230
_cell_length_b 13.230
_cell_length_c 13.230
_cell_angle_alpha 18.19
_cell_angle_beta 18.19
_cell_angle_gamma 18.19
loop_
_atom_site_label
_atom_site_type_symbol
_atom_site_fract_x
_atom_site_fract_y
_atom_site_fract_z
_atom_site_occupancy
Sb1 Sb 0.146 0.146 0.146 1
Sb2 Sb 0.854 0.854 0.854 1
Pb1 Pb 0.408 0.408 0.408 1
Pb2 Pb 0.592 0.592 0.592 1
S1 S 0.291 0.291 0.291 1
S2 S 0.709 0.709 0.709 1
```

[5]
# SbPbS3

A geometry-optimized SbPbS3 structure (PBE-GGA, Alexandria via LeMat-Bulk).

Values from the calculation:
D(E_F) in states/eV per cell: 1.89
E_form (uncorrected) in meV per atom: -91.0
Energy relative to the lowest polymorph listed for this composition in eV/atom: 0.1827

```
data_SbPbS3
_space_group_name_H-M_alt 'P 1'
_space_group_IT_number 1
_space_group_name_Hall 'P 1'
_cell_length_a 8.105
_cell_length_b 3.811
_cell_length_c 9.442
_cell_angle_alpha 90.00
_cell_angle_beta 115.29
_cell_angle_gamma 90.00
loop_
_atom_site_label
_atom_site_type_symbol
_atom_site_fract_x
_atom_site_fract_y
_atom_site_fract_z
_atom_site_occupancy
Sb1 Sb 0.146 0.000 0.289 1
Sb2 Sb 0.854 0.000 0.711 1
Pb1 Pb 0.344 0.500 0.691 1
Pb2 Pb 0.656 0.500 0.309 1
S1 S 0.000 0.000 0.500 1
S2 S 0.225 0.000 0.879 1
S3 S 0.347 0.000 0.120 1
S4 S 0.500 0.000 0.500 1
S5 S 0.653 0.000 0.880 1
S6 S 0.775 0.000 0.121 1
```

[6]
# SbPb2S

A geometry-optimized SbPb2S structure (PBE-GGA, Alexandria via LeMat-Bulk).

Values from the calculation:
D(E_F) in states/eV per cell: 0.95
E_form (uncorrected) in meV per atom: -121.3
Energy relative to the lowest polymorph listed for this composition in eV/atom: 0.0093

```
data_SbPb2S
_space_group_name_H-M_alt 'P 1'
_space_group_IT_number 1
_space_group_name_Hall 'P 1'
_cell_length_a 3.927
_cell_length_b 3.927
_cell_length_c 8.726
_cell_angle_alpha 100.80
_cell_angle_beta 100.80
_cell_angle_gamma 66.70
loop_
_atom_site_label
_atom_site_type_symbol
_atom_site_fract_x
_atom_site_fract_y
_atom_site_fract_z
_atom_site_occupancy
Sb1 Sb 0.000 0.000 0.000 1
Pb1 Pb 0.538 0.538 0.696 1
Pb2 Pb 0.715 0.715 0.252 1
S1 S 0.132 0.132 0.510 1
```

[7]
# Sb2PbS3

A geometry-optimized Sb2PbS3 structure (PBE-GGA, Alexandria via LeMat-Bulk).

Values from the calculation:
D(E_F) in states/eV per cell: 7.14
E_form (uncorrected) in meV per atom: 12.5

```
data_Sb2PbS3
_space_group_name_H-M_alt 'P 1'
_space_group_IT_number 1
_space_group_name_Hall 'P 1'
_cell_length_a 7.090
_cell_length_b 7.090
_cell_length_c 7.381
_cell_angle_alpha 90.00
_cell_angle_beta 90.00
_cell_angle_gamma 77.06
loop_
_atom_site_label
_atom_site_type_symbol
_atom_site_fract_x
_atom_site_fract_y
_atom_site_fract_z
_atom_site_occupancy
Sb1 Sb 0.172 0.172 0.000 1
Sb2 Sb 0.172 0.172 0.500 1
Sb3 Sb 0.828 0.828 0.000 1
Sb4 Sb 0.828 0.828 0.500 1
Pb1 Pb 0.240 0.760 0.750 1
Pb2 Pb 0.760 0.240 0.250 1
S1 S 0.111 0.889 0.250 1
S2 S 0.327 0.341 0.750 1
S3 S 0.341 0.327 0.250 1
S4 S 0.659 0.673 0.750 1
S5 S 0.673 0.659 0.250 1
S6 S 0.889 0.111 0.750 1
```

[8]
# Sb3Pb12S5

A geometry-optimized Sb3Pb12S5 structure (PBE-GGA, Alexandria via LeMat-Bulk).

Values from the calculation:
D(E_F) in states/eV per cell: 54.77
E_form (uncorrected) in meV per atom: -23.9

```
data_Sb3Pb12S5
_space_group_name_H-M_alt 'P 1'
_space_group_IT_number 1
_space_group_name_Hall 'P 1'
_cell_length_a 15.378
_cell_length_b 15.378
_cell_length_c 15.378
_cell_angle_alpha 109.47
_cell_angle_beta 109.47
_cell_angle_gamma 109.47
loop_
_atom_site_label
_atom_site_type_symbol
_atom_site_fract_x
_atom_site_fract_y
_atom_site_fract_z
_atom_site_occupancy
Sb1 Sb 0.125 0.250 0.375 1
Sb2 Sb 0.125 0.375 0.750 1
Sb3 Sb 0.250 0.375 0.125 1
Sb4 Sb 0.250 0.875 0.625 1
Sb5 Sb 0.375 0.125 0.250 1
Sb6 Sb 0.375 0.750 0.125 1
Sb7 Sb 0.625 0.250 0.875 1
Sb8 Sb 0.625 0.875 0.750 1
Sb9 Sb 0.750 0.125 0.375 1
Sb10 Sb 0.750 0.625 0.875 1
Sb11 Sb 0.875 0.625 0.250 1
Sb12 Sb 0.875 0.750 0.625 1
Pb1 Pb 0.052 0.224 0.134 1
Pb2 Pb 0.052 0.328 0.918 1
Pb3 Pb 0.082 0.634 0.410 1
Pb4 Pb 0.082 0.948 0.672 1
Pb5 Pb 0.090 0.724 0.672 1
Pb6 Pb 0.090 0.866 0.418 1
Pb7 Pb 0.134 0.052 0.224 1
Pb8 Pb 0.134 0.582 0.910 1
Pb9 Pb 0.172 0.224 0.590 1
Pb10 Pb 0.172 0.448 0.582 1
Pb11 Pb 0.224 0.134 0.052 1
Pb12 Pb 0.224 0.590 0.172 1
Pb13 Pb 0.276 0.328 0.910 1
Pb14 Pb 0.276 0.448 0.366 1
Pb15 Pb 0.328 0.910 0.276 1
Pb16 Pb 0.328 0.918 0.052 1
Pb17 Pb 0.366 0.276 0.448 1
Pb18 Pb 0.366 0.590 0.918 1
Pb19 Pb 0.410 0.082 0.634 1
Pb20 Pb 0.410 0.828 0.776 1
Pb21 Pb 0.418 0.090 0.866 1
Pb22 Pb 0.418 0.828 0.552 1
Pb23 Pb 0.448 0.366 0.276 1
Pb24 Pb 0.448 0.582 0.172 1
Pb25 Pb 0.552 0.418 0.828 1
Pb26 Pb 0.552 0.634 0.724 1
Pb27 Pb 0.582 0.172 0.448 1
Pb28 Pb 0.582 0.910 0.134 1
Pb29 Pb 0.590 0.172 0.224 1
Pb30 Pb 0.590 0.918 0.366 1
Pb31 Pb 0.634 0.410 0.082 1
Pb32 Pb 0.634 0.724 0.552 1
Pb33 Pb 0.672 0.082 0.948 1
Pb34 Pb 0.672 0.090 0.724 1
Pb35 Pb 0.724 0.552 0.634 1
Pb36 Pb 0.724 0.672 0.090 1
Pb37 Pb 0.776 0.410 0.828 1
Pb38 Pb 0.776 0.866 0.948 1
Pb39 Pb 0.828 0.552 0.418 1
Pb40 Pb 0.828 0.776 0.410 1
Pb41 Pb 0.866 0.418 0.090 1
Pb42 Pb 0.866 0.948 0.776 1
Pb43 Pb 0.910 0.134 0.582 1
Pb44 Pb 0.910 0.276 0.328 1
Pb45 Pb 0.918 0.052 0.328 1
Pb46 Pb 0.918 0.366 0.590 1
Pb47 Pb 0.948 0.672 0.082 1
Pb48 Pb 0.948 0.776 0.866 1
S1 S 0.000 0.000 0.000 1
S2 S 0.000 0.000 0.500 1
S3 S 0.000 0.500 0.000 1
S4 S 0.000 0.500 0.500 1
S5 S 0.125 0.750 0.875 1
S6 S 0.125 0.875 0.250 1
S7 S 0.250 0.125 0.875 1
S8 S 0.250 0.625 0.375 1
S9 S 0.375 0.250 0.625 1
S10 S 0.375 0.625 0.750 1
S11 S 0.500 0.000 0.000 1
S12 S 0.500 0.000 0.500 1
S13 S 0.500 0.500 0.000 1
S14 S 0.500 0.500 0.500 1
S15 S 0.625 0.375 0.250 1
S16 S 0.625 0.750 0.375 1
S17 S 0.750 0.375 0.625 1
S18 S 0.750 0.875 0.125 1
S19 S 0.875 0.125 0.750 1
S20 S 0.875 0.250 0.125 1
```

Listing E_tot for the structures above in their given order: -86.6; -164.3; -55.4; -25.1; -41.3; -16.2; -48.5; -311.9 eV/cell.